No. 1
Computed, not measured: a geometry-optimized CrSbTe2N structure at the GGA-PBE level of DFT.

Results
Calculated volume, A^3/atom: 20.930
SG: No. 123
ΔE_f (raw), eV per atom: 0.21
Distance to the lowest polymorph of the same formula, meV per atom: 0
Energy, eV/cell: -27.328
Total magnetization, μB/cell: 0.000

Cell: 5.3999 5.3999 3.5888 Å, 90.00 90.00 90.00°
Sites, in units of the cell vectors:
Cr 0.0000 0.0000 0.0000
Sb 0.5000 0.5000 0.5000
Te 0.0000 0.5000 0.0000
Te 0.5000 0.0000 0.0000
N 0.0000 0.0000 0.5000



No. 2
Computed, not measured: a geometry-optimized CrSbTeN2 structure at the GGA-PBE level of DFT.

Results
Calculated volume, A^3/atom: 21.201
SG: No. 123
ΔE_f (raw), eV per atom: 1.29
Distance to the lowest polymorph of the same formula, meV per atom: 450
Energy, eV/cell: -27.101
Total magnetization, μB/cell: 4.679

Cell: 3.9961 3.9961 6.6383 Å, 90.00 90.00 90.00°
Sites, in units of the cell vectors:
Cr 0.0000 0.0000 0.0000
Sb 0.5000 0.5000 0.5000
Te 0.5000 0.5000 0.0000
N 0.0000 0.5000 0.5000
N 0.5000 0.0000 0.5000



No. 3
Computed, not measured: a geometry-optimized CrSb2TeN structure at the GGA-PBE level of DFT.

Results
Calculated volume, A^3/atom: 19.941
SG: No. 123
ΔE_f (raw), eV per atom: 1.05
Distance to the lowest polymorph of the same formula, meV per atom: 0
Energy, eV/cell: -24.105
Total magnetization, μB/cell: 0.008

Cell: 4.6616 4.6616 4.5882 Å, 90.00 90.00 90.00°
Sites, in units of the cell vectors:
Cr 0.0000 0.0000 0.0000
Sb 0.0000 0.5000 0.5000
Sb 0.5000 0.0000 0.5000
Te 0.5000 0.5000 0.0000
N 0.5000 0.5000 0.5000



No. 4
Computed, not measured: a geometry-optimized CrSbTe2N structure at the GGA-PBE level of DFT.

Results
Calculated volume, A^3/atom: 26.533
SG: No. 123
ΔE_f (raw), eV per atom: 0.99
Distance to the lowest polymorph of the same formula, meV per atom: 787
Energy, eV/cell: -23.392
Total magnetization, μB/cell: 4.047

Cell: 5.8359 5.8359 3.8953 Å, 90.00 90.00 90.00°
Sites, in units of the cell vectors:
Cr 0.0000 0.0000 0.0000
Sb 0.5000 0.5000 0.5000
Te 0.0000 0.5000 0.5000
Te 0.5000 0.0000 0.5000
N 0.5000 0.5000 0.0000



No. 5
Computed, not measured: a geometry-optimized CrSb2TeN structure at the GGA-PBE level of DFT.

Results
Calculated volume, A^3/atom: 23.462
SG: No. 123
ΔE_f (raw), eV per atom: 1.37
Distance to the lowest polymorph of the same formula, meV per atom: 323
Energy, eV/cell: -22.492
Total magnetization, μB/cell: 0.001

Cell: 4.9042 4.9042 4.8776 Å, 90.00 90.00 90.00°
Sites, in units of the cell vectors:
Cr 0.0000 0.0000 0.0000
Sb 0.0000 0.5000 0.0000
Sb 0.5000 0.0000 0.0000
Te 0.0000 0.0000 0.5000
N 0.5000 0.5000 0.5000



No. 6
Computed, not measured: a geometry-optimized CrSbTe2N structure at the GGA-PBE level of DFT.

Results
Calculated volume, A^3/atom: 20.335
SG: No. 123
ΔE_f (raw), eV per atom: 1.12
Distance to the lowest polymorph of the same formula, meV per atom: 916
Energy, eV/cell: -22.747
Total magnetization, μB/cell: 0.235

Cell: 4.6369 4.6369 4.7288 Å, 90.00 90.00 90.00°
Sites, in units of the cell vectors:
Cr 0.0000 0.0000 0.0000
Sb 0.5000 0.5000 0.0000
Te 0.0000 0.5000 0.5000
Te 0.5000 0.0000 0.5000
N 0.5000 0.5000 0.5000